The following is a PBE calculation of an optimized crystal structure of Pr4DyHg4, from Alexandria.

abc: 9.6365 9.6365 5.8122
angles: 90.00 90.00 90.00
Space group P4_2/n (No. 86, origin choice 2)
Inequivalent atoms, fractional coordinates:
Pr  0.0901  0.8371  0.1390
Dy  0.2500  0.2500  0.7500
Hg  0.0529  0.1485  0.3651

## Properties
magnetic moment: 0.0 μB per formula unit
calculated formation energy: -229 kJ/mol of formula units
DOS(E_F): 13.760 states/eV per cell

=====

The following is a PBE calculation of an optimized crystal structure of Pr2Dy4Hg, from Alexandria.

abc: 17.1203 3.6414 8.1049
angles: 90.00 117.22 90.00
Space group C2/m (No. 12)
Inequivalent atoms, fractional coordinates:
Pr  0.2156  0.0000  0.1366
Dy  0.0575  0.5000  0.7403
Dy  0.1384  0.0000  0.4670
Hg  0.0000  0.0000  0.0000

## Properties
magnetic moment: 0.0 μB per formula unit
calculated formation energy: -30 kJ/mol of formula units
DOS(E_F): 20.270 states/eV per cell

=====

The following is a PBE calculation of an optimized crystal structure of Pr3DyHg2, from Alexandria.

abc: 7.3663 15.0190 7.6406
angles: 90.00 90.00 90.00
Space group Ibam (No. 72)
Inequivalent atoms, fractional coordinates:
Pr  0.0000  0.0000  0.2500
Pr  0.0000  0.2725  0.2500
Dy  0.0000  0.5000  0.0000
Hg  0.2045  0.1365  0.0000

## Properties
magnetic moment: 0.0 μB per formula unit
calculated formation energy: -42 kJ/mol of formula units
DOS(E_F): 35.757 states/eV per cell

=====

The following is a PBE calculation of an optimized crystal structure of Pr4Dy3Hg4, from Alexandria.

abc: 3.6403 9.3449 19.3597
angles: 90.00 90.00 90.00
Space group Immm (No. 71)
Inequivalent atoms, fractional coordinates:
Pr  0.0000  0.1751  0.1593
Dy  0.0000  0.0000  0.4049
Dy  0.0000  0.5000  0.5000
Hg  0.0000  0.2895  0.0000
Hg  0.0000  0.5000  0.2248

## Properties
magnetic moment: 0.0 μB per formula unit
calculated formation energy: -296 kJ/mol of formula units
DOS(E_F): 31.598 states/eV per cell

=====

The following is a PBE calculation of an optimized crystal structure of PrDyHg6, from Alexandria.

abc: 5.0471 6.7957 11.6285
angles: 90.00 90.00 90.00
Space group Amm2 (No. 38)
Inequivalent atoms, fractional coordinates:
Pr  0.0000  0.0000  0.0000
Dy  0.5000  0.0000  0.6769
Hg  0.0000  0.0000  0.5094
Hg  0.0000  0.2466  0.2528
Hg  0.5000  0.0000  0.1738
Hg  0.5000  0.2373  0.4204

## Properties
magnetic moment: 0.0 μB per formula unit
calculated formation energy: -282 kJ/mol of formula units
DOS(E_F): 11.334 states/eV per cell

=====

The following is a PBE calculation of an optimized crystal structure of PrDy2Hg4, from Alexandria.

abc: 7.2744 10.7526 5.1541
angles: 90.00 90.00 90.00
Space group Cmmm (No. 65)
Inequivalent atoms, fractional coordinates:
Pr  0.0000  0.0000  0.0000
Dy  0.0000  0.2572  0.5000
Hg  0.2248  0.5000  0.5000
Hg  0.2500  0.2500  0.0000

## Properties
magnetic moment: 0.0 μB per formula unit
calculated formation energy: -252 kJ/mol of formula units
DOS(E_F): 8.329 states/eV per cell

=====

The following is a PBE calculation of an optimized crystal structure of Pr4DyHg5, from Alexandria.

abc: 3.8292 3.8292 19.2531
angles: 90.00 90.00 90.00
Space group P4/mmm (No. 123)
Inequivalent atoms, fractional coordinates:
Pr  0.0000  0.0000  0.1017
Pr  0.0000  0.0000  0.3049
Dy  0.0000  0.0000  0.5000
Hg  0.5000  0.5000  0.0000
Hg  0.5000  0.5000  0.2026
Hg  0.5000  0.5000  0.4100

## Properties
magnetic moment: 2.1 μB per formula unit
calculated formation energy: -455 kJ/mol of formula units
DOS(E_F): 10.949 states/eV per cell

=====

The following is a PBE calculation of an optimized crystal structure of Pr12Dy3Hg, from Alexandria.

abc: 5.1195 5.1195 20.7747
angles: 90.00 90.00 90.00
Space group P4/mmm (No. 123)
Inequivalent atoms, fractional coordinates:
Pr  0.0000  0.0000  0.0000
Pr  0.0000  0.0000  0.2456
Pr  0.0000  0.0000  0.5000
Pr  0.0000  0.5000  0.1209
Pr  0.0000  0.5000  0.3734
Dy  0.5000  0.5000  0.2473
Dy  0.5000  0.5000  0.5000
Hg  0.5000  0.5000  0.0000

## Properties
magnetic moment: 0.0 μB per formula unit
calculated formation energy: -40 kJ/mol of formula units
DOS(E_F): 22.402 states/eV per cell